(1)
VASP calculation (PBE) on a relaxed structure of TcSeCl2.

a b c (Å): 6.6124 6.6124 6.6124
angles (deg): 153.05 137.33 51.20
With the nearest neighbours (Å) after each atom.
Fractional positions:
Tc: 0.0000 0.0000 0.0000  2 Se 2.39, 2 Cl 2.56
Se: 0.8467 0.3467 0.5000  2 Tc 2.39
Cl: 0.1709 0.6709 0.5000  2 Tc 2.56
Cl: 0.5047 0.5047 0.0000  4 Tc 2.86, 2 Se 3.06, 4 Cl 3.08-3.12

Results
* excess energy over the best structure of this formula in the dataset: 342 meV per atom

(2)
VASP calculation (PBE) on a relaxed structure of Ti2Ag2Au.

a b c (Å): 8.0353 8.0353 2.8027
angles (deg): 90.00 90.00 90.00
With the nearest neighbours (Å) after each atom.
Fractional positions:
Ti: 0.1697 0.3303 0.0000  6 Ag 2.71-2.78, 2 Ti 2.80, 2 Au 2.98
Ti: 0.3303 0.8303 0.0000  6 Ag 2.71-2.78, 2 Ti 2.80, 2 Au 2.98
Ti: 0.6697 0.1697 0.0000  6 Ag 2.71-2.78, 2 Ti 2.80, 2 Au 2.98
Ti: 0.8303 0.6697 0.0000  6 Ag 2.71-2.78, 2 Ti 2.80, 2 Au 2.98
Ag: 0.1265 0.6265 0.5000  6 Ti 2.71-2.78, 3 Ag 2.80-2.88
Ag: 0.3735 0.1265 0.5000  6 Ti 2.71-2.78, 3 Ag 2.80-2.88
Ag: 0.6265 0.8735 0.5000  6 Ti 2.71-2.78, 3 Ag 2.80-2.88
Ag: 0.8735 0.3735 0.5000  6 Ti 2.71-2.78, 3 Ag 2.80-2.88
Au: 0.0000 0.0000 0.0000  2 Au 2.80, 4 Ti 2.98
Au: 0.5000 0.5000 0.0000  2 Au 2.80, 4 Ti 2.98

Results
* excess energy over the best structure of this formula in the dataset: 124 meV per atom